Computed, not measured: a geometry-optimized BaMgSb structure at the PBE-GGA level of DFT.

extended XYZ file:
```
3
Lattice="0.0000 3.9413 3.9413 3.9413 0.0000 3.9413 3.9413 3.9413 0.0000" Properties=species:S:1:pos:R:3 pbc="T T T"
Ba 0.0000 0.0000 0.0000
Mg 5.9120 5.9120 5.9120
Sb 1.9707 1.9707 1.9707
```

**Energy above the most stable polymorph in this dataset**: 1.63 eV per formula unit
**E_form (uncorrected)**: -0.42 eV per formula unit
**E_tot**: -2.69 eV per atom
**DOS(E_F)**: 1.537 states/eV/f.u.